Density functional theory data (GGA-PBE) for a relaxed structure of Sc2CdB.

```
4
Lattice="0.000 3.292 3.292 3.292 0.000 3.292 3.292 3.292 0.000" Properties=species:S:1:pos:R:3 pbc="T T T"
Sc 0.000 0.000 0.000
Sc 1.646 1.646 1.646
Cd 4.938 4.938 4.938
B 3.292 3.292 3.292
```

energy relative to the lowest polymorph listed for this composition: 821 meV/atom